Entry 1:
PBE MgZr2PbC, optimized geometry; DFT formation energy = -0.2598 eV per atom
1.0
-4.499 0.541 -0.990
-1.006 -3.768 2.510
-0.487 2.525 3.596
Pb Mg C Zr
1 1 1 2
direct
0.500 0.500 0.500
0.000 0.000 0.500
0.000 0.000 0.000
0.000 0.500 0.000
0.500 0.000 0.000

***

Entry 2:
PBE MgPd2C, optimized geometry; offset from the most stable computed form = 225 kJ/mol of formula units; DFT formation energy = 0.7463 eV per atom
1.0
0.000 2.993 2.993
2.993 0.000 2.993
2.993 2.993 0.000
Mg C Pd
1 1 2
direct
0.500 0.500 0.500
0.000 0.000 0.000
0.250 0.250 0.250
0.750 0.750 0.750

***

Q: Which formula does entry 2 have?
A: MgPd2C